# ThS2I2, optimized geometry, DFT PBE
# Total magnetic moment, μB per formula unit: 0.000
# ρ, g/cm³: 4.3
# Formation energy from raw total energies, eV/atom: -1.239
data_ThS2I2
_chemical_formula_sum 'Th4 S8 I8'
_cell_length_a 7.9359
_cell_length_b 13.4366
_cell_length_c 8.1906
_cell_angle_alpha 90.00
_cell_angle_beta 102.37
_cell_angle_gamma 90.00
_space_group_name_H-M_alt 'C 1 2/m 1'
_space_group_IT_number 12
loop_
_space_group_symop_operation_xyz
'x,y,z'
'-x,-y,-z'
'-x,y,-z'
'x,-y,z'
'x+1/2,y+1/2,z'
'-x+1/2,-y+1/2,-z'
'-x+1/2,y+1/2,-z'
'x+1/2,-y+1/2,z'
loop_
_atom_site_label
_atom_site_type_symbol
_atom_site_fract_x
_atom_site_fract_y
_atom_site_fract_z
Th1 Th 0.0000 0.1430 0.0000
S1 S 0.0781 0.0000 0.2595
S2 S 0.2398 0.5000 0.8907
I1 I 0.2318 0.3037 0.2335

***

# ThS8I2, optimized geometry, DFT PBE
# Total magnetic moment, μB per formula unit: 0.000
# ρ, g/cm³: 3.4
# Formation energy from raw total energies, eV/atom: -0.412
data_ThS8I2
_chemical_formula_sum 'Th1 S8 I2'
_cell_length_a 5.1346
_cell_length_b 5.4920
_cell_length_c 13.2059
_cell_angle_alpha 79.03
_cell_angle_beta 86.43
_cell_angle_gamma 84.21
_space_group_name_H-M_alt 'P -1'
_space_group_IT_number 2
loop_
_space_group_symop_operation_xyz
'x,y,z'
'-x,-y,-z'
loop_
_atom_site_label
_atom_site_type_symbol
_atom_site_fract_x
_atom_site_fract_y
_atom_site_fract_z
Th1 Th 0.0000 0.0000 0.0000
S1 S 0.0067 0.2449 0.7679
S2 S 0.1427 0.5220 0.9421
S3 S 0.3641 0.7163 0.1697
S4 S 0.4551 0.0768 0.1148
I1 I 0.0062 0.0114 0.6170

***

Q: Which formula does entry 1 have?
A: ThS2I2